Nd2HoRu, optimized geometry, DFT PBE-GGA; formation energy = 83 kJ/mol of formula units; space-group type = No. 166; offset from the most stable computed form = 444.2 meV per atom
1.0
3.6022 0.0000 0.0000
1.8011 3.1196 0.0000
1.8011 1.0399 10.6958
Ho Ru Nd
1 1 2
Cartesian
0.0000 0.0000 0.0000
3.6022 2.0797 5.3479
5.4033 3.1196 3.4087
1.8011 1.0399 7.2871

Gd2ErSn, optimized geometry, DFT PBE-GGA; formation energy = -168 kJ/mol of formula units; space-group type = No. 123; offset from the most stable computed form = 0.0 meV per atom
1.0
-3.7892 0.5268 -3.0184
-0.6229 -4.7688 -0.0504
-2.9593 0.3466 3.7755
Gd Sn Er
2 1 1
Cartesian
-1.4797 0.1733 1.8877
-0.3114 -2.3844 -0.0252
-1.8946 0.2634 -1.5092
-3.6857 -1.9477 0.3533

MnBe2MoH, optimized geometry, DFT PBE-GGA; electronic total energy = -6.015 eV/atom; space-group type = No. 123
1.0
3.5993 0.0000 0.0000
0.0000 3.5524 0.0000
0.0000 0.0000 3.5993
Mo Be Mn H
1 2 1 1
Cartesian
1.7996 1.7762 1.7996
1.7996 0.0000 0.0000
0.0000 0.0000 1.7996
0.0000 1.7762 0.0000
0.0000 0.0000 0.0000

TcAsBr2, optimized geometry, DFT PBE-GGA; formation energy from raw total energies = 617 meV per atom; space-group type = No. 65; offset from the most stable computed form = 648.1 meV per atom
1.0
-1.9616 -2.5721 0.2885
3.2255 -0.1629 -0.3404
1.2321 0.3512 11.5072
As Br Tc
1 2 1
Cartesian
1.5560 -1.1041 8.6044
0.5230 0.1491 4.8847
0.0930 0.0265 0.8689
0.9400 -1.2797 2.8509